(1)
This record from Alexandria via LeMat-Bulk describes a geometry-optimized CeMn4Si2 structure. The functional is PBE-GGA.

The calculation puts the raw formation energy at -44 kJ/mol of atoms. Its calculated density is 7.0 g/cm³. The total energy comes out at -8.091 eV/atom.

The structure belongs to space group Cmmm (No. 65); the cell edges are 3.921, 12.969 and 3.886 Å and the angles 90.00°, 90.00° and 90.00°. The distinct sites, in fractional coordinates, are Ce at (0.000, 0.000, 0.000), Mn at (0.000, 0.199, 0.500), Mn at (0.000, 0.300, 0.000) and Si at (0.000, 0.403, 0.500).

=====

(2)
This record from Alexandria via LeMat-Bulk describes a geometry-optimized CeMn2Si3 structure. The functional is PBE-GGA.

Its distance to the lowest polymorph of the same formula is 100 meV/atom. The calculation puts the raw formation energy at -41 kJ/mol of atoms. Its calculated density is 6.2 g/cm³. The total energy comes out at -7.183 eV/atom.

The structure belongs to space group P6/mmm (No. 191); the cell edges are 5.1108, 5.1108 and 3.9324 Å and the angles 90.00°, 90.00° and 120.00°. The distinct sites, in fractional coordinates, are Ce at (0.0000, 0.0000, 0.0000), Mn at (0.3333, 0.6667, 0.0000) and Si at (0.0000, 0.5000, 0.5000).